# 1
3
Lattice="4.899 0.000 0.000 -2.450 4.243 0.000 0.000 0.000 2.909" Properties=species:S:1:pos:R:3 comment="In2Ni (PBE, optimized geometry)" delta_e_f_kj_per_mol_atoms=37.56 e_tot_ev_per_atom=-3.363 pbc="T T T"
In 0.000 2.829 0.000
In 2.450 1.414 0.000
Ni 0.000 0.000 1.455

---

# 2
5
Lattice="4.452 0.000 0.000 -2.226 3.856 0.000 0.000 0.000 5.319" Properties=species:S:1:pos:R:3 comment="In3Ni2 (PBE, optimized geometry)" delta_e_f_kj_per_mol_atoms=-15.36 e_tot_ev_per_atom=-4.115 pbc="T T T"
In 0.000 0.000 0.000
In 0.000 2.570 1.883
In 2.226 1.285 3.436
Ni 0.000 2.570 4.568
Ni 2.226 1.285 0.752

---

# 3
8
Lattice="4.239 0.000 0.000 -2.120 3.671 0.000 0.000 0.000 7.157" Properties=species:S:1:pos:R:3 comment="InNi3 (PBE, optimized geometry)" delta_e_f_kj_per_mol_atoms=10.50 e_tot_ev_per_atom=-4.912 pbc="T T T"
In 0.000 0.000 1.789
In 0.000 0.000 5.368
Ni 0.000 2.447 0.565
Ni 0.000 2.447 3.013
Ni 0.000 2.447 5.368
Ni 2.120 1.224 1.789
Ni 2.120 1.224 4.143
Ni 2.120 1.224 6.592